[1]
This record from the Alexandria database describes an optimized crystal structure of Co2SbRu. The functional is GGA-PBE.

Cell and atoms, written as extended XYZ:
```
4
Lattice="-1.930 1.930 3.663 1.930 -1.930 3.663 1.930 1.930 -3.663" Properties=species:S:1:pos:R:3 pbc="T T T"
Co 1.930 0.000 1.832
Co 0.000 1.930 1.832
Sb 0.000 0.000 0.000
Ru 0.000 0.000 3.663
```

Output
As for the space group: No. 139. As for the formation energy from raw total energies: 169 meV per atom. The total moment comes out at 1.165 μB per cell.

---

[2]
This record from the Alexandria database describes an optimized crystal structure of CoSb2Ru. The functional is GGA-PBE.

Cell and atoms, written as extended XYZ:
```
8
Lattice="-2.894 2.894 5.763 2.894 -2.894 5.763 2.894 2.894 -5.763" Properties=species:S:1:pos:R:3 pbc="T T T"
Co 0.000 0.000 0.000
Co 0.000 2.894 2.882
Sb 4.342 1.359 -1.441
Sb 1.359 1.447 1.441
Sb -1.447 1.536 4.323
Sb 1.536 1.447 7.204
Ru 2.894 0.000 2.882
Ru 0.000 0.000 5.763
```

Output
As for the space group: No. 122. As for the formation energy from raw total energies: 428 meV per atom. The total moment comes out at 0.000 μB per cell.

---

[3]
This record from the Alexandria database describes an optimized crystal structure of Co2SbRu. The functional is GGA-PBE.

Cell and atoms, written as extended XYZ:
```
4
Lattice="1.495 0.863 7.790 -1.495 0.863 7.790 0.000 -1.726 7.790" Properties=species:S:1:pos:R:3 pbc="T T T"
Co 0.000 0.000 0.000
Co 0.000 0.000 6.088
Sb 0.000 0.000 11.824
Ru 0.000 0.000 17.519
```

Output
As for the space group: No. 160. As for the formation energy from raw total energies: 482 meV per atom. The total moment comes out at 3.783 μB per cell.

---

[4]
This record from the Alexandria database describes an optimized crystal structure of CoSb2Ru. The functional is GGA-PBE.

Cell and atoms, written as extended XYZ:
```
4
Lattice="4.057 0.000 0.000 0.000 1.647 5.172 0.000 -1.647 5.172" Properties=species:S:1:pos:R:3 pbc="T T T"
Co 0.000 0.000 0.000
Sb 0.000 0.000 2.606
Sb 2.029 0.000 5.644
Ru 2.029 0.000 8.512
```

Output
As for the space group: No. 38. As for the formation energy from raw total energies: 36 meV per atom. The total moment comes out at 0.001 μB per cell.

---

[5]
This record from the Alexandria database describes an optimized crystal structure of CoSb2Ru. The functional is GGA-PBE.

Cell and atoms, written as extended XYZ:
```
4
Lattice="0.000 3.259 3.259 3.259 0.000 3.259 3.259 3.259 0.000" Properties=species:S:1:pos:R:3 pbc="T T T"
Co 0.000 0.000 0.000
Sb 1.630 1.630 1.630
Sb 4.889 4.889 4.889
Ru 3.259 3.259 3.259
```

Output
As for the space group: No. 225. As for the formation energy from raw total energies: 208 meV per atom. The total moment comes out at 2.011 μB per cell.

---

[6]
This record from the Alexandria database describes an optimized crystal structure of CoSb2Ru. The functional is GGA-PBE.

Cell and atoms, written as extended XYZ:
```
4
Lattice="3.620 0.000 0.000 0.000 3.620 0.000 0.000 0.000 5.368" Properties=species:S:1:pos:R:3 pbc="T T T"
Co 0.000 0.000 0.000
Sb 0.000 0.000 2.720
Sb 1.810 1.810 4.695
Ru 1.810 1.810 1.930
```

Output
As for the space group: No. 99. As for the formation energy from raw total energies: 89 meV per atom. The total moment comes out at 0.181 μB per cell.

---

formation energy from raw total energies of number 4 (CoSb2Ru)?
36 meV per atom